# Tl2WAu, relaxed, DFT PBE
data_Tl2WAu
_chemical_formula_sum 'Tl2 W1 Au1'
_cell_length_a 2.969
_cell_length_b 5.239
_cell_length_c 5.499
_cell_angle_alpha 90.00
_cell_angle_beta 90.00
_cell_angle_gamma 90.00
_symmetry_space_group_name_H-M 'P m m m'
_symmetry_Int_Tables_number 47
loop_
_symmetry_equiv_pos_as_xyz
'x,y,z'
'-x,-y,-z'
'-x,-y,z'
'x,y,-z'
'x,-y,-z'
'-x,y,z'
'-x,y,-z'
'x,-y,z'
loop_
_atom_site_label
_atom_site_type_symbol
_atom_site_fract_x
_atom_site_fract_y
_atom_site_fract_z
Tl1 Tl 0.000 0.000 0.000
Tl2 Tl 0.500 0.000 0.500
W1 W 0.000 0.500 0.500
Au1 Au 0.500 0.500 0.000
# - E_form (eV per atom) = 0.822
# - crystal system = orthorhombic
# - D(E_F) (states/eV/cell) = 1.8
# - offset from the most stable computed form (eV per atom) = 0.249
# - E_tot (eV/atom) = -4.42
# - density (kg/m³) = 15326